1.
The following is a GGA-PBE calculation of an optimized crystal structure of PaTlPtS4, from Alexandria.

Geometry as POSCAR:
```
PaTlPtS4
1.0
6.7343 0.0000 -1.4637
0.0000 5.5346 0.0000
-4.4491 0.0000 9.8592
S Pt Pa Tl
8 2 2 2
Cartesian
0.9510 1.3837 7.1935 S
1.7828 1.3837 3.3856 S
1.3341 4.1510 1.2021 S
0.5023 4.1510 5.0100 S
4.4839 2.7307 1.7566 S
-2.1988 2.8039 6.6390 S
-2.1988 5.4980 6.6390 S
4.4839 0.0366 1.7566 S
2.7133 1.3837 5.7118 Pt
-0.4282 4.1510 2.6838 Pt
-0.4622 1.3837 4.9047 Pa
2.7473 4.1510 3.4909 Pa
0.5456 4.1510 8.3356 Tl
1.7396 1.3837 0.0600 Tl
```

Space-group type ... P2_1/m, No. 11
Raw formation energy ... -5.9 eV per formula unit
Density of states at the Fermi level ... 5.6 states/eV/cell
Final energy ... -80.60 eV for the cell shown

2.
The following is a GGA-PBE calculation of an optimized crystal structure of U2PaPt2S6, from Alexandria.

Geometry as POSCAR:
```
U2PaPt2S6
1.0
-5.4711 -4.4063 0.6293
6.5863 -2.5215 0.0823
0.1640 0.6155 5.7353
S U Pt Pa
6 2 2 1
Cartesian
1.0247 -4.4769 1.8015 S
2.1114 -0.9059 1.3872 S
-0.8322 -5.4063 5.0598 S
-3.4007 -2.6753 4.8401 S
4.6799 -3.6370 1.6068 S
0.2546 -1.8354 4.6455 S
-1.4385 -3.7276 0.9173 U
2.7178 -2.5847 5.5297 U
-1.3612 -3.4374 3.6208 Pt
2.6405 -2.8748 2.8261 Pt
0.0000 0.0000 0.0000 Pa
```

Space-group type ... P-3, No. 147
Raw formation energy ... -10.3 eV per formula unit
Density of states at the Fermi level ... 15.6 states/eV/cell
Final energy ... -79.27 eV for the cell shown

3.
The following is a GGA-PBE calculation of an optimized crystal structure of PaSbPt, from Alexandria.

Geometry as POSCAR:
```
PaSbPt
1.0
-3.7038 -1.5104 1.5923
2.2337 -2.7014 2.6331
-1.0516 4.0280 1.3747
Pt Sb Pa
1 1 1
Cartesian
-3.6264 -1.4789 1.5591 Pt
-2.6824 0.6732 2.9661 Sb
0.0833 -0.8886 2.6674 Pa
```

Space-group type ... P3m1, No. 156
Raw formation energy ... -2.5 eV per formula unit
Density of states at the Fermi level ... 0.1 states/eV/cell
Final energy ... -22.16 eV for the cell shown

4.
The following is a GGA-PBE calculation of an optimized crystal structure of Pa3Sb3Pt2, from Alexandria.

Geometry as POSCAR:
```
Pa3Sb3Pt2
1.0
4.1328 0.0000 0.0000
-2.0664 5.7797 0.0000
0.0000 0.0000 16.0460
Sb Pa Pt
6 6 4
Cartesian
0.0000 4.2593 15.3279 Sb
2.0664 1.5204 0.7181 Sb
2.0664 1.5204 7.3049 Sb
0.0000 4.2593 8.7411 Sb
0.0000 5.0191 4.0115 Sb
2.0664 0.7606 12.0345 Sb
0.0000 0.6604 14.3351 Pa
2.0664 5.1192 6.3120 Pa
0.0000 0.6604 9.7340 Pa
2.0664 2.3233 4.0115 Pa
2.0664 5.1192 1.7110 Pa
0.0000 3.4563 12.0345 Pa
0.0000 2.9166 6.0471 Pt
2.0664 2.8631 9.9989 Pt
2.0664 2.8631 14.0702 Pt
0.0000 2.9166 1.9759 Pt
```

Space-group type ... Cmcm, No. 63
Raw formation energy ... -5.2 eV per formula unit
Density of states at the Fermi level ... 19.1 states/eV/cell
Final energy ... -116.18 eV for the cell shown

5.
The following is a GGA-PBE calculation of an optimized crystal structure of Pa3Sb4Pt3, from Alexandria.

Geometry as POSCAR:
```
Pa3Sb4Pt3
1.0
7.9845 0.0000 -2.8229
-3.9922 6.9148 -2.8229
0.0000 0.0000 8.4688
Sb Pt Pa
8 6 6
Cartesian
4.7088 1.2412 -0.9048 Sb
0.0000 0.0000 6.9487 Sb
-1.2795 4.6986 3.3297 Sb
4.5552 3.4574 -3.7277 Sb
0.0000 0.0000 2.7143 Sb
0.7166 5.6736 0.5067 Sb
0.5629 3.4574 -2.3162 Sb
2.7127 2.2162 1.9182 Sb
-1.9961 5.1861 0.7057 Pt
4.4913 4.3217 2.1172 Pt
1.4971 6.0504 -2.1172 Pt
0.4990 2.5930 3.5287 Pt
1.9961 1.7287 -0.7057 Pt
5.4893 0.8643 4.9402 Pt
-1.4971 6.0504 -2.1172 Pa
5.9884 1.7287 2.1172 Pa
3.4932 4.3217 -0.7057 Pa
-0.4990 2.5930 0.7057 Pa
2.4952 0.8643 4.9402 Pa
1.9961 5.1861 3.5287 Pa
```

Space-group type ... I-43d, No. 220
Raw formation energy ... -8.3 eV per formula unit
Density of states at the Fermi level ... 23.2 states/eV/cell
Final energy ... -142.88 eV for the cell shown

6.
The following is a GGA-PBE calculation of an optimized crystal structure of PaSbPt2, from Alexandria.

Geometry as POSCAR:
```
PaSbPt2
1.0
4.8872 0.0000 0.0000
2.4436 4.2324 0.0000
2.4436 1.4108 3.9904
Sb Pa Pt
1 1 2
Cartesian
4.8872 2.8216 1.9952 Sb
0.0000 0.0000 0.0000 Pa
2.4436 1.4108 0.9976 Pt
7.3308 4.2324 2.9928 Pt
```

Space-group type ... Fm-3m, No. 225
Raw formation energy ... -3.0 eV per formula unit
Density of states at the Fermi level ... 1.7 states/eV/cell
Final energy ... -28.70 eV for the cell shown

7.
The following is a GGA-PBE calculation of an optimized crystal structure of Pa2SbPt3, from Alexandria.

Geometry as POSCAR:
```
Pa2SbPt3
1.0
8.1794 0.0000 4.7224
2.7265 7.7116 4.7224
0.0000 0.0000 9.4447
Pt Pa Sb
12 8 4
Cartesian
8.1264 2.9667 9.5363 Pt
5.5058 6.6728 14.0754 Pt
5.5058 6.6728 9.5363 Pt
4.1955 2.9667 11.8059 Pt
2.7794 4.7449 4.8140 Pt
2.7794 4.7449 9.3531 Pt
9.4368 6.6728 11.8059 Pt
1.4690 1.0388 7.0835 Pt
6.7103 4.7449 7.0835 Pt
8.1264 2.9667 14.0754 Pt
5.4000 1.0388 9.3531 Pt
5.4000 1.0388 4.8140 Pt
4.0897 5.7461 7.0835 Pa
8.1616 5.7711 14.1363 Pa
2.7442 1.9404 4.7531 Pa
6.7807 1.9404 7.0835 Pa
8.1616 5.7711 9.4754 Pa
4.1252 5.7711 11.8059 Pa
6.8161 1.9655 11.8059 Pa
2.7442 1.9404 9.4140 Pa
4.0897 0.0000 2.3612 Sb
0.0000 0.0000 0.0000 Sb
1.3632 3.8558 2.3612 Sb
0.0000 0.0000 4.7224 Sb
```

Space-group type ... Fd-3m, No. 227
Raw formation energy ... -3.6 eV per formula unit
Density of states at the Fermi level ... 18.1 states/eV/cell
Final energy ... -179.37 eV for the cell shown

8.
The following is a GGA-PBE calculation of an optimized crystal structure of Pa2Sb2Pt3, from Alexandria.

Geometry as POSCAR:
```
Pa2Sb2Pt3
1.0
-0.8544 0.6306 6.2452
-4.0804 -3.3058 3.5429
1.5321 -4.2826 4.4093
Pt Pa Sb
3 2 2
Cartesian
-0.4272 0.3153 3.1226 Pt
-2.0402 -1.6529 1.7715 Pt
0.7661 -2.1413 2.2047 Pt
-1.7013 -3.4789 7.0988 Pa
0.0000 0.0000 0.0000 Pa
-2.3669 -4.8398 9.8757 Sb
-1.0358 -2.1180 4.3218 Sb
```

Space-group type ... R-3m, No. 166
Raw formation energy ... -4.4 eV per formula unit
Density of states at the Fermi level ... 9.1 states/eV/cell
Final energy ... -49.81 eV for the cell shown

9.
The following is a GGA-PBE calculation of an optimized crystal structure of Pa2SbPt9, from Alexandria.

Geometry as POSCAR:
```
Pa2SbPt9
1.0
-1.1871 -1.5151 -3.6898
1.4190 -3.7583 1.0867
-11.1475 -2.8352 4.7507
Pa Pt Sb
2 9 1
Cartesian
-3.6517 -0.9288 1.5562 Pa
-7.4957 -1.9064 3.1945 Pa
-9.8402 -3.1093 2.0957 Pt
-8.5372 -4.2309 4.4840 Pt
0.1159 -2.6367 -1.3016 Pt
-2.4944 -1.2410 -1.0348 Pt
-3.6214 -3.5873 0.2912 Pt
-4.8642 -3.2968 2.9187 Pt
-6.1673 -2.1751 0.5304 Pt
-1.1913 -2.3626 1.3534 Pt
-7.2942 -4.5214 1.8564 Pt
0.0000 0.0000 0.0000 Sb
```

Space-group type ... P4/mmm, No. 123
Raw formation energy ... -8.4 eV per formula unit
Density of states at the Fermi level ... 11.4 states/eV/cell
Final energy ... -85.92 eV for the cell shown

10.
The following is a GGA-PBE calculation of an optimized crystal structure of PaSbPt, from Alexandria.

Geometry as POSCAR:
```
PaSbPt
1.0
4.5161 0.0000 0.0000
2.2581 5.5077 -0.1213
2.2581 -0.0238 5.5089
Pt Sb Pa
2 2 2
Cartesian
4.5161 4.3416 4.4939 Pt
4.5161 0.9138 1.1262 Pt
2.2581 0.2659 2.3651 Sb
6.7742 3.1144 5.1637 Sb
4.5161 0.9254 4.5428 Pa
2.2581 3.4581 1.9649 Pa
```

Space-group type ... Imm2, No. 44
Raw formation energy ... -2.2 eV per formula unit
Density of states at the Fermi level ... 7.5 states/eV/cell
Final energy ... -43.76 eV for the cell shown

11.
The following is a GGA-PBE calculation of an optimized crystal structure of Sr2PaSb3Pt4, from Alexandria.

Geometry as POSCAR:
```
Sr2PaSb3Pt4
1.0
-0.8311 3.7370 2.5797
-3.5249 -2.1842 2.0285
7.1237 -3.9928 8.0794
Sr Pt Sb Pa
2 4 3 1
Cartesian
3.7798 -4.1986 7.3000 Sr
1.1659 0.9821 3.0834 Sr
4.1677 -0.7004 6.4880 Pt
0.7780 -2.5160 3.8955 Pt
-2.1780 0.7764 2.3041 Pt
0.0000 0.0000 0.0000 Pt
3.5619 -1.9964 4.0397 Sb
-0.8787 -1.5874 2.0165 Sb
5.8244 -1.6290 8.3669 Sb
1.3838 -1.2200 6.3438 Pa
```

Space-group type ... P-4m2, No. 115
Raw formation energy ... -7.8 eV per formula unit
Density of states at the Fermi level ... 8.0 states/eV/cell
Final energy ... -57.18 eV for the cell shown

12.
The following is a GGA-PBE calculation of an optimized crystal structure of ScPaPt6, from Alexandria.

Geometry as POSCAR:
```
ScPaPt6
1.0
-1.3189 -1.7718 -3.4574
1.0664 -3.6760 1.4770
-7.4123 -0.8411 3.2586
Pt Pa Sc
6 1 1
Cartesian
-0.1262 -2.7239 -0.9902 Pt
-6.2512 -1.5204 0.7296 Pt
-2.4800 -1.0925 -0.9284 Pt
-1.2873 -2.0446 1.5388 Pt
-3.8324 -3.1445 0.6391 Pt
-5.0586 -2.4725 3.1968 Pt
-3.7062 -0.4205 1.6293 Pa
0.0000 0.0000 0.0000 Sc
```

Space-group type ... P4/mmm, No. 123
Density of states at the Fermi level ... 1.4 states/eV/cell
Final energy ... -60.66 eV for the cell shown